Entry from the Open Quantum Materials Database: an optimized crystal structure of GdDy2In3Ag2Pt (PBE).

Summary:
Its mass density is 9.89 Mg/m³. The calculation puts the calculated total energy at -4.3517 eV/atom. As for the space-group type: Amm2, No. 38.

Lattice parameters (Å, degrees): 4.002 7.744 7.744 120.05 90.00 90.00
Atoms (fractional coordinates):
Gd: 0.000 0.000 0.000
Dy: 0.000 0.398 0.795
Dy: 0.000 0.795 0.398
In: 0.500 0.142 0.399
In: 0.500 0.399 0.142
In: 0.500 0.655 0.655
Ag: 0.500 0.066 0.730
Ag: 0.500 0.730 0.066
Pt: 0.000 0.400 0.400